Here is a geometry-optimized Ba3LiNp2S9 structure from the Alexandria database. Energies are from PBE.

```
Ba3LiNp2S9
1.0
7.1355 0.0000 0.0000
-3.5678 6.1795 0.0000
0.0000 0.0000 8.8493
S Ba Np Li
9 3 2 1
direct
0.0000 0.5000 0.0000 S
0.6688 0.8344 0.3332 S
0.1656 0.8344 0.3332 S
0.8344 0.6688 0.6668 S
0.5000 0.0000 0.0000 S
0.3312 0.1656 0.6668 S
0.8344 0.1656 0.6668 S
0.5000 0.5000 0.0000 S
0.1656 0.3312 0.3332 S
0.6667 0.3333 0.3498 Ba
0.3333 0.6667 0.6502 Ba
0.0000 0.0000 0.0000 Ba
0.6667 0.3333 0.8224 Np
0.3333 0.6667 0.1776 Np
0.0000 0.0000 0.5000 Li
```

Its space group is P-3m1. For the calculated volume, the calculation gives 390 Å³ per cell. The uncorrected formation energy comes out at -1.503 eV per atom.


Here is a geometry-optimized Ba2LiNpS6 structure from the Alexandria database. Energies are from PBE.

```
Ba2LiNpS6
1.0
-4.8723 -2.0437 -4.7304
-0.9845 -6.0819 3.6417
-7.1716 4.4095 5.4254
Np Li S Ba
2 2 12 4
direct
0.5000 0.0000 0.5000 Np
0.0000 0.5000 0.0000 Np
0.5000 0.0000 0.0000 Li
0.0000 0.5000 0.5000 Li
0.4408 0.9959 0.7452 S
0.2218 0.2085 0.4682 S
0.7218 0.2915 0.9682 S
0.2068 0.2203 0.0297 S
0.9408 0.5041 0.2452 S
0.7932 0.7797 0.9703 S
0.7068 0.2797 0.5297 S
0.0592 0.4959 0.7548 S
0.7782 0.7915 0.5318 S
0.2782 0.7085 0.0318 S
0.2932 0.7203 0.4703 S
0.5592 0.0041 0.2548 S
0.9913 0.0443 0.7474 Ba
0.5087 0.5443 0.7526 Ba
0.0087 0.9557 0.2526 Ba
0.4913 0.4557 0.2474 Ba
```

Its space group is P2_1/c. For the calculated volume, the calculation gives 508 Å³ per cell. The uncorrected formation energy comes out at -1.420 eV per atom.


Here is a geometry-optimized Ba2LiNpS5 structure from the Alexandria database. Energies are from PBE.

```
Ba2LiNpS5
1.0
4.1725 0.0000 0.0000
-2.0863 8.9861 0.0000
0.0000 0.0000 12.8478
S Ba Np Li
10 4 2 2
direct
0.4998 0.9996 0.2803 S
0.3029 0.6059 0.3827 S
0.9295 0.8590 0.5421 S
0.3495 0.6989 0.0047 S
0.2852 0.5704 0.6498 S
0.7148 0.4296 0.1498 S
0.0705 0.1410 0.0421 S
0.6971 0.3941 0.8827 S
0.6505 0.3011 0.5047 S
0.5002 0.0004 0.7803 S
0.1220 0.2439 0.3108 Ba
0.8780 0.7561 0.8108 Ba
0.8926 0.7853 0.1936 Ba
0.1074 0.2147 0.6936 Ba
0.7923 0.5845 0.5166 Np
0.2077 0.4155 0.0166 Np
0.5613 0.1225 0.9435 Li
0.4387 0.8775 0.4435 Li
```

Its space group is Cmc2_1. For the calculated volume, the calculation gives 482 Å³ per cell. The uncorrected formation energy comes out at -1.594 eV per atom.